# BaNbTe2N (PBE, relaxed)
# Energy relative to the elements, uncorrected in eV per atom: -0.66
# E above lowest polymorph in meV/atom: 0
# Total DFT energy (no corrections) in eV/atom: -5.98
# Total moment in μB/f.u.: 0.00
# DOS(E_F) in states/eV per cell: 2.2
data_BaNbTe2N
_space_group_name_H-M_alt 'P 1'
_space_group_IT_number 1
_cell_length_a 5.773
_cell_length_b 5.773
_cell_length_c 4.043
_cell_angle_alpha 90.00
_cell_angle_beta 90.00
_cell_angle_gamma 90.00
loop_
_space_group_symop_operation_xyz
'x,y,z'
loop_
_atom_site_label
_atom_site_fract_x
_atom_site_fract_y
_atom_site_fract_z
_atom_site_occupancy
Ba1 0.500 0.500 0.500 1
N1 0.000 0.000 0.500 1
Te1 0.000 0.500 0.000 1
Nb1 0.000 0.000 0.000 1
Te2 0.500 0.000 0.000 1